# CsGaGe2 | Alexandria | PBE | relaxed
data_CsGaGe2
_cell_length_a 5.5208
_cell_length_b 5.5208
_cell_length_c 17.5963
_cell_angle_alpha 90.00
_cell_angle_beta 90.00
_cell_angle_gamma 90.00
_space_group_name_H-M_alt 'P 1'
_space_group_IT_number 1
loop_
_space_group_symop_operation_xyz
'x,y,z'
loop_
_atom_site_label
_atom_site_fract_x
_atom_site_fract_y
_atom_site_fract_z
Cs1 0.0000 0.2500 0.3750
Cs2 0.0000 0.7500 0.6250
Cs3 0.5000 0.2500 0.1250
Cs4 0.5000 0.7500 0.8750
Ga1 0.0000 0.2500 0.8750
Ga2 0.0000 0.7500 0.1250
Ga3 0.5000 0.2500 0.6250
Ga4 0.5000 0.7500 0.3750
Ge1 0.0000 0.0000 0.0000
Ge2 0.0000 0.5000 0.0000
Ge3 0.2500 0.2500 0.7500
Ge4 0.2500 0.7500 0.2500
Ge5 0.5000 0.0000 0.5000
Ge6 0.5000 0.5000 0.5000
Ge7 0.7500 0.2500 0.7500
Ge8 0.7500 0.7500 0.2500
# energy of formation = 0.095 eV per atom
# density = 4.31 g/cm³
# E = -50.944 eV for the cell shown
# space-group type = I4_1/amd (141)